# Ca2Ga4SbAu3, optimized geometry, DFT GGA-PBE
data_Ca2Ga4SbAu3
_chemical_formula_sum 'Ca2 Ga4 Sb1 Au3'
_cell_length_a 4.425
_cell_length_b 4.425
_cell_length_c 11.250
_cell_angle_alpha 90.00
_cell_angle_beta 90.00
_cell_angle_gamma 90.00
_symmetry_space_group_name_H-M 'P -4 m 2'
_symmetry_Int_Tables_number 115
loop_
_symmetry_equiv_pos_as_xyz
'x,y,z'
'y,-x,-z'
'-x,-y,z'
'-y,x,-z'
'-x,y,z'
'-y,-x,-z'
'x,-y,z'
'y,x,-z'
loop_
_atom_site_label
_atom_site_fract_x
_atom_site_fract_y
_atom_site_fract_z
Ca1 0.000 0.500 0.239
Ga1 0.000 0.000 0.000
Ga2 0.000 0.500 0.649
Ga3 0.500 0.500 0.000
Sb1 0.000 0.000 0.500
Au1 0.000 0.500 0.871
Au2 0.500 0.500 0.500
# formation energy from raw total energies	-11.3	kcal/mol of atoms

# CaScGaAu, optimized geometry, DFT GGA-PBE
data_CaScGaAu
_chemical_formula_sum 'Ca4 Sc4 Ga4 Au4'
_cell_length_a 7.027
_cell_length_b 7.027
_cell_length_c 7.027
_cell_angle_alpha 90.00
_cell_angle_beta 90.00
_cell_angle_gamma 90.00
_symmetry_space_group_name_H-M 'F -4 3 m'
_symmetry_Int_Tables_number 216
_symmetry_space_group_name_Hall 'F -4 2 3'
loop_
_atom_site_label
_atom_site_fract_x
_atom_site_fract_y
_atom_site_fract_z
Ca1 0.000 0.000 0.000
Sc1 0.000 0.000 0.500
Ga1 0.250 0.250 0.250
Au1 0.250 0.250 0.750
# formation enthalpy at 0 K	-2.36	eV/f.u.

# Ca2ScGa3Au4, optimized geometry, DFT GGA-PBE
data_Ca2ScGa3Au4
_chemical_formula_sum 'Ca2 Sc1 Ga3 Au4'
_cell_length_a 4.319
_cell_length_b 4.319
_cell_length_c 11.573
_cell_angle_alpha 90.00
_cell_angle_beta 90.00
_cell_angle_gamma 90.00
_symmetry_space_group_name_H-M 'P -4 m 2'
_symmetry_Int_Tables_number 115
loop_
_symmetry_equiv_pos_as_xyz
'x,y,z'
'y,-x,-z'
'-x,-y,z'
'-y,x,-z'
'-x,y,z'
'-y,-x,-z'
'x,-y,z'
'y,x,-z'
loop_
_atom_site_label
_atom_site_fract_x
_atom_site_fract_y
_atom_site_fract_z
Ca1 0.000 0.500 0.231
Sc1 0.000 0.000 0.500
Ga1 0.000 0.500 0.870
Ga2 0.500 0.500 0.500
Au1 0.000 0.000 0.000
Au2 0.000 0.500 0.651
Au3 0.500 0.500 0.000
# formation enthalpy at 0 K	-6.13	eV/f.u.

# Ca2ScGa4Au3, optimized geometry, DFT GGA-PBE
data_Ca2ScGa4Au3
_chemical_formula_sum 'Ca2 Sc1 Ga4 Au3'
_cell_length_a 4.200
_cell_length_b 4.200
_cell_length_c 12.077
_cell_angle_alpha 90.00
_cell_angle_beta 90.00
_cell_angle_gamma 90.00
_symmetry_space_group_name_H-M 'P -4 m 2'
_symmetry_Int_Tables_number 115
loop_
_symmetry_equiv_pos_as_xyz
'x,y,z'
'y,-x,-z'
'-x,-y,z'
'-y,x,-z'
'-x,y,z'
'-y,-x,-z'
'x,-y,z'
'y,x,-z'
loop_
_atom_site_label
_atom_site_fract_x
_atom_site_fract_y
_atom_site_fract_z
Ca1 0.000 0.500 0.240
Sc1 0.000 0.000 0.500
Ga1 0.000 0.000 0.000
Ga2 0.000 0.500 0.652
Ga3 0.500 0.500 0.000
Au1 0.000 0.500 0.864
Au2 0.500 0.500 0.500
# formation enthalpy at 0 K	-5.57	eV/f.u.

# CaScGa2Au4, optimized geometry, DFT GGA-PBE
data_CaScGa2Au4
_chemical_formula_sum 'Ca3 Sc3 Ga6 Au12'
_cell_length_a 4.7762
_cell_length_b 4.7762
_cell_length_c 23.5524
_cell_angle_alpha 90.00
_cell_angle_beta 90.00
_cell_angle_gamma 120.00
_symmetry_space_group_name_H-M 'R -3 m'
_symmetry_Int_Tables_number 166
_symmetry_space_group_name_Hall '-R 3 2"'
loop_
_atom_site_label
_atom_site_fract_x
_atom_site_fract_y
_atom_site_fract_z
Ca1 0.0000 0.0000 0.0000
Sc1 0.0000 0.0000 0.5000
Ga1 0.0000 0.0000 0.2514
Au1 0.0000 0.0000 0.1334
Au2 0.0000 0.0000 0.3829
# formation enthalpy at 0 K	-4.63	eV/f.u.

# CaScGa2Au5, optimized geometry, DFT GGA-PBE
data_CaScGa2Au5
_chemical_formula_sum 'Ca1 Sc1 Ga2 Au5'
_cell_length_a 4.399
_cell_length_b 4.399
_cell_length_c 9.228
_cell_angle_alpha 90.00
_cell_angle_beta 90.00
_cell_angle_gamma 90.00
_symmetry_space_group_name_H-M 'P 4/m m m'
_symmetry_Int_Tables_number 123
_symmetry_space_group_name_Hall '-P 4 2'
loop_
_atom_site_label
_atom_site_fract_x
_atom_site_fract_y
_atom_site_fract_z
Ca1 0.000 0.000 0.000
Sc1 0.000 0.000 0.500
Ga1 0.500 0.500 0.371
Au1 0.000 0.500 0.231
Au2 0.500 0.500 0.000
# formation enthalpy at 0 K	-3.90	eV/f.u.

# Ca2ScGaAu, optimized geometry, DFT GGA-PBE
data_Ca2ScGaAu
_chemical_formula_sum 'Ca2 Sc1 Ga1 Au1'
_cell_length_a 5.980
_cell_length_b 5.980
_cell_length_c 4.912
_cell_angle_alpha 90.00
_cell_angle_beta 90.00
_cell_angle_gamma 90.00
_symmetry_space_group_name_H-M 'P 4/m m m'
_symmetry_Int_Tables_number 123
_symmetry_space_group_name_Hall '-P 4 2'
loop_
_atom_site_label
_atom_site_fract_x
_atom_site_fract_y
_atom_site_fract_z
Ca1 0.000 0.500 0.000
Sc1 0.000 0.000 0.000
Ga1 0.500 0.500 0.500
Au1 0.000 0.000 0.500
# formation enthalpy at 0 K	2.46	eV/f.u.

# Ca3Ga2SiAu6, optimized geometry, DFT GGA-PBE
data_Ca3Ga2SiAu6
_chemical_formula_sum 'Ca3 Ga2 Si1 Au6'
_cell_length_a 6.1570
_cell_length_b 6.1570
_cell_length_c 8.2085
_cell_angle_alpha 90.00
_cell_angle_beta 90.00
_cell_angle_gamma 120.00
_symmetry_space_group_name_H-M 'P -3 m 1'
_symmetry_Int_Tables_number 164
_symmetry_space_group_name_Hall '-P 3 2"'
loop_
_atom_site_label
_atom_site_fract_x
_atom_site_fract_y
_atom_site_fract_z
Ca1 0.0000 0.0000 0.0000
Ca2 0.3333 0.6667 0.6377
Ga1 0.3333 0.6667 0.0311
Si1 0.0000 0.0000 0.5000
Au1 0.1754 0.3509 0.2945
# formation energy from raw total energies	-10.9	kcal/mol of atoms

# Ca3GaSi2Au9, optimized geometry, DFT GGA-PBE
data_Ca3GaSi2Au9
_chemical_formula_sum 'Ca3 Ga1 Si2 Au9'
_cell_length_a 7.6398
_cell_length_b 7.6398
_cell_length_c 6.7601
_cell_angle_alpha 90.00
_cell_angle_beta 90.00
_cell_angle_gamma 120.00
_symmetry_space_group_name_H-M 'P -3 m 1'
_symmetry_Int_Tables_number 164
_symmetry_space_group_name_Hall '-P 3 2"'
loop_
_atom_site_label
_atom_site_fract_x
_atom_site_fract_y
_atom_site_fract_z
Ca1 0.0000 0.0000 0.0000
Ca2 0.3333 0.6667 0.6672
Ga1 0.0000 0.0000 0.5000
Si1 0.3333 0.6667 0.1607
Au1 0.0000 0.5000 0.0000
Au2 0.1706 0.3412 0.3328
# formation energy from raw total energies	-8.8	kcal/mol of atoms

# Ca2GaSi3Au4, optimized geometry, DFT GGA-PBE
data_Ca2GaSi3Au4
_chemical_formula_sum 'Ca2 Ga1 Si3 Au4'
_cell_length_a 4.277
_cell_length_b 4.277
_cell_length_c 10.792
_cell_angle_alpha 90.00
_cell_angle_beta 90.00
_cell_angle_gamma 90.00
_symmetry_space_group_name_H-M 'P -4 m 2'
_symmetry_Int_Tables_number 115
loop_
_symmetry_equiv_pos_as_xyz
'x,y,z'
'y,-x,-z'
'-x,-y,z'
'-y,x,-z'
'-x,y,z'
'-y,-x,-z'
'x,-y,z'
'y,x,-z'
loop_
_atom_site_label
_atom_site_fract_x
_atom_site_fract_y
_atom_site_fract_z
Ca1 0.000 0.500 0.242
Ga1 0.000 0.000 0.500
Si1 0.000 0.500 0.866
Si2 0.500 0.500 0.500
Au1 0.000 0.000 0.000
Au2 0.000 0.500 0.640
Au3 0.500 0.500 0.000
# formation energy from raw total energies	-11.1	kcal/mol of atoms

# Ca2Ga3SiAu4, optimized geometry, DFT GGA-PBE
data_Ca2Ga3SiAu4
_chemical_formula_sum 'Ca2 Ga3 Si1 Au4'
_cell_length_a 4.396
_cell_length_b 4.396
_cell_length_c 10.679
_cell_angle_alpha 90.00
_cell_angle_beta 90.00
_cell_angle_gamma 90.00
_symmetry_space_group_name_H-M 'P -4 m 2'
_symmetry_Int_Tables_number 115
loop_
_symmetry_equiv_pos_as_xyz
'x,y,z'
'y,-x,-z'
'-x,-y,z'
'-y,x,-z'
'-x,y,z'
'-y,-x,-z'
'x,-y,z'
'y,x,-z'
loop_
_atom_site_label
_atom_site_fract_x
_atom_site_fract_y
_atom_site_fract_z
Ca1 0.000 0.500 0.247
Ga1 0.000 0.000 0.000
Ga2 0.000 0.500 0.633
Si1 0.500 0.500 0.000
Au1 0.000 0.000 0.500
Au2 0.000 0.500 0.871
Au3 0.500 0.500 0.500
# formation energy from raw total energies	-11.8	kcal/mol of atoms

# Ca2Ga4SiAu3, optimized geometry, DFT GGA-PBE
data_Ca2Ga4SiAu3
_chemical_formula_sum 'Ca2 Ga4 Si1 Au3'
_cell_length_a 4.281
_cell_length_b 4.281
_cell_length_c 11.178
_cell_angle_alpha 90.00
_cell_angle_beta 90.00
_cell_angle_gamma 90.00
_symmetry_space_group_name_H-M 'P -4 m 2'
_symmetry_Int_Tables_number 115
loop_
_symmetry_equiv_pos_as_xyz
'x,y,z'
'y,-x,-z'
'-x,-y,z'
'-y,x,-z'
'-x,y,z'
'-y,-x,-z'
'x,-y,z'
'y,x,-z'
loop_
_atom_site_label
_atom_site_fract_x
_atom_site_fract_y
_atom_site_fract_z
Ca1 0.000 0.500 0.244
Ga1 0.000 0.000 0.500
Ga2 0.000 0.500 0.865
Ga3 0.500 0.500 0.500
Si1 0.500 0.500 0.000
Au1 0.000 0.000 0.000
Au2 0.000 0.500 0.639
# formation energy from raw total energies	-11.1	kcal/mol of atoms